The following is a DFT calculation (PBEsol) of an optimized crystal structure of Y2BeAu.

Lattice parameters (Å, degrees): 4.380 3.807 5.810 90.00 101.71 90.00
Fractional coordinates of all 4 atoms:
Y: 0.000 0.000 0.000
Y: 0.500 0.500 0.500
Be: 0.000 0.000 0.500
Au: 0.500 0.500 0.000

Results
As for the space group: P2/m, No. 10. Its volume is 95 Å³/cell. For the energy of formation, the calculation gives -0.33 eV per formula unit. For the density of states at the Fermi level, the calculation gives 4.6 states/eV/f.u. The spin magnetization is 0.0 μB per formula unit. Its crystal system is monoclinic.